The following is a PBE-GGA calculation of a relaxed Tl2Te2Pt crystal, from Alexandria via LeMat-Bulk.

Structure (POSCAR):
```
Tl2Te2Pt
1.0
7.195 0.000 0.000
0.000 7.195 0.000
0.000 0.000 5.834
Tl Te Pt
4 4 2
direct
0.168 0.332 0.000
0.332 0.832 0.000
0.668 0.168 0.000
0.832 0.668 0.000
0.160 0.660 0.500
0.340 0.160 0.500
0.660 0.840 0.500
0.840 0.340 0.500
0.000 0.000 0.500
0.500 0.500 0.500
```

Properties
- Uncorrected formation energy: -0.69 eV/f.u.
- N(E_F): 1.0 states/eV/f.u.
- Density: 9.45 Mg/m³

=====

The following is a PBE-GGA calculation of a relaxed Pr5PtS4 crystal, from Alexandria via LeMat-Bulk.

Structure (POSCAR):
```
Pr5PtS4
1.0
6.957 -2.040 0.000
6.957 2.040 0.000
-5.083 0.000 8.876
Pr Pt S
5 1 4
direct
0.000 0.000 0.000
0.202 0.202 0.806
0.400 0.400 0.599
0.600 0.600 0.401
0.798 0.798 0.194
0.000 0.000 0.500
0.201 0.201 0.297
0.401 0.401 0.099
0.599 0.599 0.901
0.799 0.799 0.703
```

Properties
- Uncorrected formation energy: -18.19 eV/f.u.
- N(E_F): 4.3 states/eV/f.u.
- Density: 6.77 Mg/m³